MgAg2W after structural relaxation. Source: Alexandria, functional PBE-GGA.

Output
ΔE_f = 1.9 eV per formula unit

Cell and atoms, written as CIF:
```
data_MgAg2W
_cell_length_a 2.769
_cell_length_b 4.252
_cell_length_c 5.889
_cell_angle_alpha 90.00
_cell_angle_beta 91.60
_cell_angle_gamma 90.00
_symmetry_space_group_name_H-M 'P 1 2/m 1'
_symmetry_Int_Tables_number 10
loop_
_symmetry_equiv_pos_as_xyz
'x,y,z'
'-x,-y,-z'
'-x,y,-z'
'x,-y,z'
loop_
_atom_site_label
_atom_site_type_symbol
_atom_site_fract_x
_atom_site_fract_y
_atom_site_fract_z
Mg1 Mg 0.000 0.000 0.000
Ag1 Ag 0.492 0.500 0.256
W1 W 0.000 0.000 0.500
```